[1]
# Tb8MgBi6

A geometry-optimized Tb8MgBi6 structure (GGA-PBE, Alexandria via LeMat-Bulk).

The formation energy comes out at -55.0 kJ/mol of atoms.

Cell: 9.2892 9.2892 19.2780 Å, 90.00 90.00 120.00°
Space group R-3 (No. 148, hexagonal axes)
Asymmetric unit:
Tb1 0.0000 0.0000 0.1686
Tb2 0.0028 0.7241 0.5927
Mg1 0.0000 0.0000 0.5000
Bi1 0.0010 0.6250 0.4229

[2]
# Tb2MgBi4

A geometry-optimized Tb2MgBi4 structure (GGA-PBE, Alexandria via LeMat-Bulk).

The formation energy comes out at -47.6 kJ/mol of atoms.

Cell: 4.493 4.493 10.705 Å, 90.00 90.00 90.00°
Space group P-4m2 (No. 115)
Asymmetric unit:
Tb1 0.000 0.500 0.235
Mg1 0.000 0.000 0.500
Bi1 0.000 0.000 0.000
Bi2 0.000 0.500 0.678
Bi3 0.500 0.500 0.000

[3]
# Tb2MgBi

A geometry-optimized Tb2MgBi structure (GGA-PBE, Alexandria via LeMat-Bulk).

Its energy above the most stable polymorph in this dataset is 166 kJ/mol of formula units. The formation energy comes out at 1.0 kJ/mol of atoms.

Cell: 3.5171 3.5171 34.6988 Å, 90.00 90.00 120.00°
Space group R-3m (No. 166, hexagonal axes)
Asymmetric unit:
Tb1 0.0000 0.0000 0.0914
Mg1 0.0000 0.0000 0.5000
Bi1 0.0000 0.0000 0.0000

no.,E (Ry per atom)
1,-0.3453
2,-0.3132
3,-0.2700